Record 1
Material: CoSbTe2I
Method: DFT, PBE
State: relaxed

Lattice parameters (Å, degrees): 5.150 5.150 5.023 90.00 90.00 90.00
Positions (direct):
Co 0.000 0.000 0.000
Sb 0.000 0.000 0.500
Te 0.000 0.500 0.000
Te 0.500 0.000 0.000
I 0.500 0.500 0.500

Results
As for the uncorrected formation energy: 342 meV/atom. As for the space group: No. 123. The crystal system is tetragonal. For the uncorrected energy, the calculation gives -3.471 eV per atom. The value obtained for the density is 7.0 Mg/m³.

=====

Record 2
Material: PmAlSiPt6
Method: DFT, PBE
State: relaxed

Lattice parameters (Å, degrees): 7.956 7.956 7.956 126.89 113.11 90.41
Positions (direct):
Pm 0.413 0.163 0.250
Pm 0.587 0.837 0.750
Al 0.000 0.000 0.500
Al 0.000 0.500 0.000
Si 0.000 0.500 0.500
Si 0.500 0.500 0.000
Pt 0.114 0.366 0.230
Pt 0.114 0.885 0.748
Pt 0.146 0.896 0.250
Pt 0.334 0.584 0.750
Pt 0.363 0.115 0.730
Pt 0.363 0.634 0.248
Pt 0.637 0.366 0.752
Pt 0.637 0.885 0.270
Pt 0.666 0.416 0.250
Pt 0.854 0.104 0.750
Pt 0.886 0.115 0.252
Pt 0.886 0.634 0.770

Results
As for the uncorrected formation energy: -596 meV/atom. As for the space group: No. 74. The crystal system is orthorhombic. For the uncorrected energy, the calculation gives -6.169 eV per atom. The value obtained for the density is 13.0 Mg/m³.

=====

Record 3
Material: SrErI
Method: DFT, PBE
State: relaxed

Lattice parameters (Å, degrees): 3.940 3.940 16.111 90.00 90.00 120.00
Positions (direct):
Sr 0.000 0.000 0.000
Sr 0.333 0.667 0.500
Er 0.333 0.667 0.192
Er 0.333 0.667 0.808
I 0.000 0.000 0.334
I 0.000 0.000 0.666

Results
As for the uncorrected formation energy: -459 meV/atom. As for the space group: No. 187. The crystal system is hexagonal. For the uncorrected energy, the calculation gives -3.058 eV per atom. The value obtained for the density is 5.9 Mg/m³.